Entry 1:
The following is a DFT calculation (PBE-GGA) of a relaxed structure of Mg2MnSnCl.

Raw total energy = -3.32 eV per atom
E_form (uncorrected) = 0.32 eV/atom
Crystal system = tetragonal
ΔE to the lowest computed polymorph = 0.000 eV per atom
Size of the total moment = 2.869 μB per cell

The structure in CIF format:
```
data_Mg2MnSnCl
_chemical_formula_sum 'Mg2 Mn1 Sn1 Cl1'
_cell_length_a 5.2765
_cell_length_b 5.2765
_cell_length_c 4.0875
_cell_angle_alpha 90.00
_cell_angle_beta 90.00
_cell_angle_gamma 90.00
_space_group_name_H-M_alt 'P 4/m m m'
_space_group_IT_number 123
_space_group_name_Hall '-P 4 2'
loop_
_atom_site_label
_atom_site_fract_x
_atom_site_fract_y
_atom_site_fract_z
Mg1 0.0000 0.5000 0.0000
Mn1 0.0000 0.0000 0.0000
Sn1 0.5000 0.5000 0.5000
Cl1 0.0000 0.0000 0.5000
```

Entry 2:
The following is a DFT calculation (PBE-GGA) of a relaxed structure of Mg2MnSnCl.

Raw total energy = -3.32 eV per atom
E_form (uncorrected) = 0.33 eV/atom
Crystal system = tetragonal
ΔE to the lowest computed polymorph = 0.005 eV per atom
Size of the total moment = 0.479 μB per cell

The structure in CIF format:
```
data_Mg2MnSnCl
_chemical_formula_sum 'Mg2 Mn1 Sn1 Cl1'
_cell_length_a 5.2197
_cell_length_b 5.2197
_cell_length_c 4.8734
_cell_angle_alpha 90.00
_cell_angle_beta 90.00
_cell_angle_gamma 90.00
_space_group_name_H-M_alt 'P 4/m m m'
_space_group_IT_number 123
_space_group_name_Hall '-P 4 2'
loop_
_atom_site_label
_atom_site_fract_x
_atom_site_fract_y
_atom_site_fract_z
Mg1 0.0000 0.5000 0.0000
Mn1 0.0000 0.0000 0.0000
Sn1 0.0000 0.0000 0.5000
Cl1 0.5000 0.5000 0.5000
```

Entry 3:
The following is a DFT calculation (PBE-GGA) of a relaxed structure of MgMnSnCl6.

Raw total energy = -4.17 eV per atom
E_form (uncorrected) = -1.30 eV/atom
Crystal system = trigonal
Size of the total moment = 10.000 μB per cell

The structure in CIF format:
```
data_MgMnSnCl6
_chemical_formula_sum 'Mg2 Mn2 Sn2 Cl12'
_cell_length_a 6.5338
_cell_length_b 6.5338
_cell_length_c 12.3969
_cell_angle_alpha 90.00
_cell_angle_beta 90.00
_cell_angle_gamma 120.00
_space_group_name_H-M_alt 'P -3 1 c'
_space_group_IT_number 163
_space_group_name_Hall '-P 3 2c'
loop_
_atom_site_label
_atom_site_fract_x
_atom_site_fract_y
_atom_site_fract_z
Mg1 0.3333 0.6667 0.2500
Mn1 0.3333 0.6667 0.7500
Sn1 0.0000 0.0000 0.0000
Cl1 0.0012 0.3606 0.1354
```

Entry 4:
The following is a DFT calculation (PBE-GGA) of a relaxed structure of SrMgMnCl6.

Raw total energy = -4.37 eV per atom
E_form (uncorrected) = -1.75 eV/atom
Crystal system = tetragonal
Size of the total moment = 10.000 μB per cell

The structure in CIF format:
```
data_SrMgMnCl6
_chemical_formula_sum 'Sr2 Mg2 Mn2 Cl12'
_cell_length_a 6.3132
_cell_length_b 6.3132
_cell_length_c 11.8616
_cell_angle_alpha 90.00
_cell_angle_beta 90.00
_cell_angle_gamma 90.00
_space_group_name_H-M_alt 'P 42 n m'
_space_group_IT_number 102
_space_group_name_Hall 'P 4n -2n'
loop_
_atom_site_label
_atom_site_fract_x
_atom_site_fract_y
_atom_site_fract_z
Sr1 0.0000 0.0000 0.0000
Mg1 0.0000 0.0000 0.6675
Mn1 0.0000 0.0000 0.3318
Cl1 0.1768 0.1768 0.5005
Cl2 0.2063 0.2063 0.8137
Cl3 0.2079 0.2079 0.1854
```

Entry 5:
The following is a DFT calculation (PBE-GGA) of a relaxed structure of MgMnTlCl5.

Raw total energy = -4.14 eV per atom
E_form (uncorrected) = -1.35 eV/atom
Crystal system = monoclinic
Size of the total moment = 20.000 μB per cell

The structure in CIF format:
```
data_MgMnTlCl5
_chemical_formula_sum 'Mg4 Mn4 Tl4 Cl20'
_cell_length_a 8.7699
_cell_length_b 11.7764
_cell_length_c 9.3691
_cell_angle_alpha 90.00
_cell_angle_beta 112.33
_cell_angle_gamma 90.00
_space_group_name_H-M_alt 'C 1 2/c 1'
_space_group_IT_number 15
_space_group_name_Hall '-C 2yc'
loop_
_atom_site_label
_atom_site_fract_x
_atom_site_fract_y
_atom_site_fract_z
Mg1 0.0000 0.0000 0.0000
Mn1 0.0000 0.3146 0.2500
Tl1 0.0000 0.3331 0.7500
Cl1 0.0000 0.0646 0.7500
Cl2 0.1029 0.1997 0.0997
Cl3 0.1955 0.4340 0.4316
```

Entry 6:
The following is a DFT calculation (PBE-GGA) of a relaxed structure of Mg2MnTlCl8.

Raw total energy = -3.77 eV per atom
E_form (uncorrected) = -1.31 eV/atom
Crystal system = monoclinic
Size of the total moment = 4.686 μB per cell

The structure in CIF format:
```
data_Mg2MnTlCl8
_chemical_formula_sum 'Mg2 Mn1 Tl1 Cl8'
_cell_length_a 6.0547
_cell_length_b 7.8249
_cell_length_c 6.2738
_cell_angle_alpha 90.00
_cell_angle_beta 90.84
_cell_angle_gamma 90.00
_space_group_name_H-M_alt 'P 1 2/m 1'
_space_group_IT_number 10
_space_group_name_Hall '-P 2y'
loop_
_atom_site_label
_atom_site_fract_x
_atom_site_fract_y
_atom_site_fract_z
Mg1 0.0000 0.2388 0.0000
Mn1 0.5000 0.0000 0.5000
Tl1 0.5000 0.5000 0.5000
Cl1 0.1970 0.5000 0.8444
Cl2 0.2173 0.0000 0.8274
Cl3 0.2700 0.2226 0.3177
```

Entry 7:
The following is a DFT calculation (PBE-GGA) of a relaxed structure of MgMn2TlCl8.

Raw total energy = -4.25 eV per atom
E_form (uncorrected) = -1.16 eV/atom
Crystal system = trigonal
Size of the total moment = 9.000 μB per cell

The structure in CIF format:
```
data_MgMn2TlCl8
_chemical_formula_sum 'Mg1 Mn2 Tl1 Cl8'
_cell_length_a 6.5355
_cell_length_b 6.5355
_cell_length_c 8.9459
_cell_angle_alpha 90.00
_cell_angle_beta 90.00
_cell_angle_gamma 120.00
_space_group_name_H-M_alt 'P -3'
_space_group_IT_number 147
_space_group_name_Hall '-P 3'
loop_
_atom_site_label
_atom_site_fract_x
_atom_site_fract_y
_atom_site_fract_z
Mg1 0.0000 0.0000 0.0000
Mn1 0.3333 0.6667 0.2282
Tl1 0.0000 0.0000 0.5000
Cl1 0.0002 0.3110 0.1679
Cl2 0.3333 0.6667 0.4761
```

Entry 8:
The following is a DFT calculation (PBE-GGA) of a relaxed structure of YMg2MnCl.

Raw total energy = -3.72 eV per atom
E_form (uncorrected) = 0.41 eV/atom
Crystal system = tetragonal
Size of the total moment = 0.000 μB per cell

The structure in CIF format:
```
data_YMg2MnCl
_chemical_formula_sum 'Y1 Mg2 Mn1 Cl1'
_cell_length_a 5.1541
_cell_length_b 5.1541
_cell_length_c 4.1933
_cell_angle_alpha 90.00
_cell_angle_beta 90.00
_cell_angle_gamma 90.00
_space_group_name_H-M_alt 'P 4/m m m'
_space_group_IT_number 123
_space_group_name_Hall '-P 4 2'
loop_
_atom_site_label
_atom_site_fract_x
_atom_site_fract_y
_atom_site_fract_z
Y1 0.0000 0.0000 0.0000
Mg1 0.0000 0.5000 0.5000
Mn1 0.5000 0.5000 0.0000
Cl1 0.5000 0.5000 0.5000
```

Entry 9:
The following is a DFT calculation (PBE-GGA) of a relaxed structure of MgZrMn2Cl.

Raw total energy = -4.96 eV per atom
E_form (uncorrected) = 1.11 eV/atom
Crystal system = tetragonal
Size of the total moment = 6.061 μB per cell

The structure in CIF format:
```
data_MgZrMn2Cl
_chemical_formula_sum 'Mg1 Zr1 Mn2 Cl1'
_cell_length_a 4.8532
_cell_length_b 4.8532
_cell_length_c 5.9828
_cell_angle_alpha 90.00
_cell_angle_beta 90.00
_cell_angle_gamma 90.00
_space_group_name_H-M_alt 'P 4/m m m'
_space_group_IT_number 123
_space_group_name_Hall '-P 4 2'
loop_
_atom_site_label
_atom_site_fract_x
_atom_site_fract_y
_atom_site_fract_z
Mg1 0.0000 0.0000 0.0000
Zr1 0.0000 0.0000 0.5000
Mn1 0.0000 0.5000 0.5000
Cl1 0.5000 0.5000 0.0000
```

Entry 10:
The following is a DFT calculation (PBE-GGA) of a relaxed structure of MgMo3Cl.

Raw total energy = -6.30 eV per atom
E_form (uncorrected) = 0.89 eV/atom
Crystal system = cubic
ΔE to the lowest computed polymorph = 0.000 eV per atom
Size of the total moment = 0.000 μB per cell

The structure in CIF format:
```
data_MgMo3Cl
_chemical_formula_sum 'Mg1 Mo3 Cl1'
_cell_length_a 4.4462
_cell_length_b 4.4462
_cell_length_c 4.4462
_cell_angle_alpha 90.00
_cell_angle_beta 90.00
_cell_angle_gamma 90.00
_space_group_name_H-M_alt 'P m -3 m'
_space_group_IT_number 221
_space_group_name_Hall '-P 4 2 3'
loop_
_atom_site_label
_atom_site_fract_x
_atom_site_fract_y
_atom_site_fract_z
Mg1 0.0000 0.0000 0.0000
Mo1 0.0000 0.5000 0.5000
Cl1 0.5000 0.5000 0.5000
```

Entry 11:
The following is a DFT calculation (PBE-GGA) of a relaxed structure of MgMoCl2.

Raw total energy = -4.26 eV per atom
E_form (uncorrected) = -0.23 eV/atom
Crystal system = trigonal
ΔE to the lowest computed polymorph = 0.154 eV per atom
Size of the total moment = 0.000 μB per cell

The structure in CIF format:
```
data_MgMoCl2
_chemical_formula_sum 'Mg3 Mo3 Cl6'
_cell_length_a 3.1690
_cell_length_b 3.1690
_cell_length_c 28.6955
_cell_angle_alpha 90.00
_cell_angle_beta 90.00
_cell_angle_gamma 120.00
_space_group_name_H-M_alt 'R -3 m'
_space_group_IT_number 166
_space_group_name_Hall '-R 3 2"'
loop_
_atom_site_label
_atom_site_fract_x
_atom_site_fract_y
_atom_site_fract_z
Mg1 0.0000 0.0000 0.0000
Mo1 0.0000 0.0000 0.5000
Cl1 0.0000 0.0000 0.1070
```

Entry 12:
The following is a DFT calculation (PBE-GGA) of a relaxed structure of Mg2MoCl.

Raw total energy = -3.86 eV per atom
E_form (uncorrected) = 0.11 eV/atom
Crystal system = orthorhombic
ΔE to the lowest computed polymorph = 0.331 eV per atom
Size of the total moment = 0.009 μB per cell

The structure in CIF format:
```
data_Mg2MoCl
_chemical_formula_sum 'Mg4 Mo2 Cl2'
_cell_length_a 3.0605
_cell_length_b 4.9801
_cell_length_c 10.4226
_cell_angle_alpha 90.00
_cell_angle_beta 90.00
_cell_angle_gamma 90.00
_space_group_name_H-M_alt 'I m m 2'
_space_group_IT_number 44
_space_group_name_Hall 'I 2 -2'
loop_
_atom_site_label
_atom_site_fract_x
_atom_site_fract_y
_atom_site_fract_z
Mg1 0.0000 0.0000 0.0000
Mg2 0.0000 0.5000 0.1907
Mo1 0.0000 0.0000 0.4563
Cl1 0.0000 0.5000 0.7768
```

Q: Which value of E_form (uncorrected) does entry 6 give?
A: -1.31 eV/atom

Repeat the fourth record exactly.
The following is a DFT calculation (PBE-GGA) of a relaxed structure of SrMgMnCl6.

Raw total energy = -4.37 eV per atom
E_form (uncorrected) = -1.75 eV/atom
Crystal system = tetragonal
Size of the total moment = 10.000 μB per cell

The structure in CIF format:
```
data_SrMgMnCl6
_chemical_formula_sum 'Sr2 Mg2 Mn2 Cl12'
_cell_length_a 6.3132
_cell_length_b 6.3132
_cell_length_c 11.8616
_cell_angle_alpha 90.00
_cell_angle_beta 90.00
_cell_angle_gamma 90.00
_space_group_name_H-M_alt 'P 42 n m'
_space_group_IT_number 102
_space_group_name_Hall 'P 4n -2n'
loop_
_atom_site_label
_atom_site_fract_x
_atom_site_fract_y
_atom_site_fract_z
Sr1 0.0000 0.0000 0.0000
Mg1 0.0000 0.0000 0.6675
Mn1 0.0000 0.0000 0.3318
Cl1 0.1768 0.1768 0.5005
Cl2 0.2063 0.2063 0.8137
Cl3 0.2079 0.2079 0.1854
```

Q: What is the formula in the eighth record?
A: YMg2MnCl

Copy entry 3 word for word.
The following is a DFT calculation (PBE-GGA) of a relaxed structure of MgMnSnCl6.

Raw total energy = -4.17 eV per atom
E_form (uncorrected) = -1.30 eV/atom
Crystal system = trigonal
Size of the total moment = 10.000 μB per cell

The structure in CIF format:
```
data_MgMnSnCl6
_chemical_formula_sum 'Mg2 Mn2 Sn2 Cl12'
_cell_length_a 6.5338
_cell_length_b 6.5338
_cell_length_c 12.3969
_cell_angle_alpha 90.00
_cell_angle_beta 90.00
_cell_angle_gamma 120.00
_space_group_name_H-M_alt 'P -3 1 c'
_space_group_IT_number 163
_space_group_name_Hall '-P 3 2c'
loop_
_atom_site_label
_atom_site_fract_x
_atom_site_fract_y
_atom_site_fract_z
Mg1 0.3333 0.6667 0.2500
Mn1 0.3333 0.6667 0.7500
Sn1 0.0000 0.0000 0.0000
Cl1 0.0012 0.3606 0.1354
```